VASP calculation (PBE+U) on crystalline LiW3F at its relaxed geometry.

The structure belongs to space group Pm-3m (No. 221); the cell edges are 4.288, 4.288 and 4.288 Å and the angles 90.00°, 90.00° and 90.00°. The inequivalent atoms are Li at (0.000, 0.000, 0.000), W at (0.000, 0.500, 0.500) and F at (0.500, 0.500, 0.500).

Its total magnetization is 0.000 μB per atom. Its crystal system is cubic. The energy above the most stable polymorph in this dataset comes out at 0.0000 eV per atom. As for the density: 12.17 Mg/m³. As for the calculated total energy: -3.667 eV per atom.